# 1
Material: MnCoTeAu2
Method: DFT, PBE-GGA
State: relaxed

For the raw formation energy, the calculation gives 3.24 eV/f.u. The total moment is 5.80 μB/f.u. For the total energy, the calculation gives -4.5473 eV/atom. For the density, the calculation gives 10.01 Mg/m³.

Cell lengths 4.828, 4.523, 4.828 Å; angles 90.00, 90.00, 90.00 degrees
Last column: magnetic moment on the atom in μB.
Atoms (fractional coordinates):
Mn  0.000  0.500  0.000  3.86
Au  0.500  0.000  0.000  0.01
Te  0.500  0.500  0.500  0.04
Au  0.000  0.000  0.500  0.08
Co  0.000  0.000  0.000  1.54

# 2
Material: TiMnCoAu
Method: DFT, PBE-GGA
State: relaxed

For the formation enthalpy at 0 K, the calculation gives -111 meV per atom. The total moment is 4.84 μB/f.u. For the total energy, the calculation gives -6.9728 eV/atom. For the density, the calculation gives 10.03 Mg/m³.

Cell lengths 4.379, 4.379, 4.379 Å; angles 60.00, 60.00, 60.00 degrees
Last column: magnetic moment on the atom in μB.
Atoms (fractional coordinates):
Mn  0.250  0.250  0.250  3.58
Ti  0.750  0.750  0.750  -0.26
Co  0.000  0.000  0.000  1.35
Au  0.500  0.500  0.500  0.05

# 3
Material: Co3MoAu
Method: DFT, PBE-GGA
State: relaxed

The distance to the lowest polymorph of the same formula is 0.000 eV/atom. For the formation enthalpy at 0 K, the calculation gives 1401 meV per atom. The total moment is 0.57 μB/f.u. For the total energy, the calculation gives -5.6839 eV/atom. For the density, the calculation gives 9.26 Mg/m³.

Cell lengths 4.383, 4.383, 4.383 Å; angles 90.00, 90.00, 90.00 degrees
Last column: magnetic moment on the atom in μB.
Atoms (fractional coordinates):
Mo  0.000  0.000  0.000  -0.08
Au  0.500  0.500  0.500  -0.02
Co  0.000  0.000  0.500  0.28
Co  0.000  0.500  0.000  0.22
Co  0.500  0.000  0.000  0.19

# 4
Material: CoMoAu2
Method: DFT, PBE-GGA
State: relaxed

The distance to the lowest polymorph of the same formula is 0.000 eV/atom. For the formation enthalpy at 0 K, the calculation gives 134 meV per atom. The total moment is 0.51 μB/f.u. For the total energy, the calculation gives -5.9891 eV/atom. For the density, the calculation gives 14.64 Mg/m³.

Cell lengths 2.797, 2.799, 8.438 Å; angles 70.43, 90.00, 90.00 degrees
Last column: magnetic moment on the atom in μB.
Atoms (fractional coordinates):
Au  0.500  0.225  0.276  0.00
Au  0.000  0.010  0.988  -0.01
Mo  0.500  0.782  0.717  -0.07
Co  0.000  0.483  0.519  0.59

# 5
Material: CoMoAu2
Method: DFT, PBE-GGA
State: relaxed

The distance to the lowest polymorph of the same formula is 0.149 eV/atom. For the formation enthalpy at 0 K, the calculation gives 283 meV per atom. The total moment is 1.74 μB/f.u. For the total energy, the calculation gives -5.8398 eV/atom. For the density, the calculation gives 14.58 Mg/m³.

Cell lengths 2.775, 2.775, 8.119 Å; angles 90.00, 90.00, 90.03 degrees
Last column: magnetic moment on the atom in μB.
Atoms (fractional coordinates):
Au  0.000  0.000  0.487  0.00
Co  0.500  0.500  0.250  1.83
Au  0.000  0.000  0.013  0.00
Mo  0.500  0.500  0.750  -0.04

# 6
Material: Co4MoAu
Method: DFT, PBE-GGA
State: relaxed

For the formation enthalpy at 0 K, the calculation gives 131 meV per atom. The total moment is 3.05 μB/f.u. For the total energy, the calculation gives -6.9579 eV/atom. For the density, the calculation gives 11.76 Mg/m³.

Cell lengths 4.726, 4.726, 4.726 Å; angles 60.00, 60.00, 60.00 degrees
Last column: magnetic moment on the atom in μB.
Atoms (fractional coordinates):
Au  0.000  0.000  0.000  -0.01
Co  0.375  0.375  0.874  0.92
Mo  0.750  0.750  0.750  -0.53
Co  0.375  0.375  0.375  0.92
Co  0.874  0.375  0.375  0.92
Co  0.375  0.874  0.375  0.92

# 7
Material: CoMoAu2
Method: DFT, PBE-GGA
State: relaxed

The distance to the lowest polymorph of the same formula is 0.326 eV/atom. For the formation enthalpy at 0 K, the calculation gives 460 meV per atom. The total moment is 3.29 μB/f.u. For the total energy, the calculation gives -5.6632 eV/atom. For the density, the calculation gives 14.35 Mg/m³.

Cell lengths 4.161, 3.907, 3.907 Å; angles 90.00, 90.00, 90.00 degrees
Last column: magnetic moment on the atom in μB.
Atoms (fractional coordinates):
Co  0.500  0.500  0.000  1.69
Au  0.000  0.000  0.000  0.12
Mo  0.500  0.000  0.500  1.25
Au  0.000  0.500  0.500  0.12

# 8
Material: CoMoAu
Method: DFT, PBE-GGA
State: relaxed

The distance to the lowest polymorph of the same formula is 0.364 eV/atom. For the formation enthalpy at 0 K, the calculation gives 529 meV per atom. The total moment is 1.21 μB/f.u. For the total energy, the calculation gives -6.5429 eV/atom. For the density, the calculation gives 11.85 Mg/m³.

Cell lengths 4.116, 4.116, 4.116 Å; angles 60.00, 60.00, 60.00 degrees
Last column: magnetic moment on the atom in μB.
Atoms (fractional coordinates):
Co  0.750  0.750  0.750  0.78
Mo  0.000  0.000  0.000  0.28
Au  0.500  0.500  0.500  0.07

# 9
Material: CoMoAu2
Method: DFT, PBE-GGA
State: relaxed

The distance to the lowest polymorph of the same formula is 0.214 eV/atom. For the formation enthalpy at 0 K, the calculation gives 348 meV per atom. The total moment is 1.73 μB/f.u. For the total energy, the calculation gives -5.7749 eV/atom. For the density, the calculation gives 14.49 Mg/m³.

Cell lengths 4.144, 2.732, 6.182 Å; angles 63.99, 90.00, 90.00 degrees
Last column: magnetic moment on the atom in μB.
Atoms (fractional coordinates):
Au  0.000  0.999  0.003  -0.01
Co  0.500  0.250  0.250  1.72
Mo  0.500  0.750  0.750  0.06
Au  0.000  0.501  0.497  -0.01

# 10
Material: CoMoAu2
Method: DFT, PBE-GGA
State: relaxed

The distance to the lowest polymorph of the same formula is 0.246 eV/atom. For the formation enthalpy at 0 K, the calculation gives 380 meV per atom. The total moment is 1.42 μB/f.u. For the total energy, the calculation gives -5.7428 eV/atom. For the density, the calculation gives 14.53 Mg/m³.

Cell lengths 4.895, 4.895, 4.888 Å; angles 80.76, 80.76, 32.90 degrees
Last column: magnetic moment on the atom in μB.
Atoms (fractional coordinates):
Mo  0.750  0.750  0.750  0.03
Au  0.503  0.503  0.497  0.00
Co  0.250  0.250  0.250  1.43
Au  0.997  0.997  0.003  0.00

# 11
Material: Co3MoAu
Method: DFT, PBE-GGA
State: relaxed

The distance to the lowest polymorph of the same formula is 0.490 eV/atom. For the formation enthalpy at 0 K, the calculation gives 1891 meV per atom. The total moment is 9.46 μB/f.u. For the total energy, the calculation gives -5.1938 eV/atom. For the density, the calculation gives 7.99 Mg/m³.

Cell lengths 4.604, 4.604, 4.604 Å; angles 90.00, 90.00, 90.00 degrees
Last column: magnetic moment on the atom in μB.
Atoms (fractional coordinates):
Co  0.000  0.000  0.500  2.45
Au  0.000  0.000  0.000  0.25
Co  0.500  0.000  0.000  1.51
Mo  0.500  0.500  0.500  2.81
Co  0.000  0.500  0.000  1.92

# 12
Material: CoMoAu
Method: DFT, PBE-GGA
State: relaxed

The distance to the lowest polymorph of the same formula is 0.000 eV/atom. For the formation enthalpy at 0 K, the calculation gives 164 meV per atom. The total moment is 0.77 μB/f.u. For the total energy, the calculation gives -6.9072 eV/atom. For the density, the calculation gives 13.23 Mg/m³.

Cell lengths 6.045, 6.045, 2.779 Å; angles 76.71, 76.71, 26.58 degrees
Last column: magnetic moment on the atom in μB.
Atoms (fractional coordinates):
Mo  0.683  0.683  0.317  -0.05
Au  0.994  0.994  0.006  0.02
Co  0.323  0.323  0.677  0.81

# 13
Material: CoMoAu2
Method: DFT, PBE-GGA
State: relaxed

The distance to the lowest polymorph of the same formula is 0.246 eV/atom. For the formation enthalpy at 0 K, the calculation gives 379 meV per atom. The total moment is 2.72 μB/f.u. For the total energy, the calculation gives -5.7435 eV/atom. For the density, the calculation gives 14.30 Mg/m³.

Cell lengths 4.992, 4.992, 2.726 Å; angles 90.00, 90.00, 110.35 degrees
Last column: magnetic moment on the atom in μB.
Atoms (fractional coordinates):
Co  0.500  0.000  0.500  1.88
Au  0.500  0.500  0.000  0.06
Mo  0.000  0.500  0.500  0.67
Au  0.000  0.000  0.000  0.06

# 14
Material: CoMoAu2
Method: DFT, PBE-GGA
State: relaxed

The distance to the lowest polymorph of the same formula is 0.320 eV/atom. For the formation enthalpy at 0 K, the calculation gives 454 meV per atom. The total moment is 0.67 μB/f.u. For the total energy, the calculation gives -5.6690 eV/atom. For the density, the calculation gives 14.40 Mg/m³.

Cell lengths 4.473, 4.473, 4.473 Å; angles 60.00, 60.00, 60.00 degrees
Last column: magnetic moment on the atom in μB.
Atoms (fractional coordinates):
Co  0.000  0.000  0.000  1.44
Au  0.750  0.750  0.750  -0.03
Au  0.250  0.250  0.250  -0.03
Mo  0.500  0.500  0.500  -0.60

# 15
Material: CoMoAu
Method: DFT, PBE-GGA
State: relaxed

The distance to the lowest polymorph of the same formula is 0.114 eV/atom. For the formation enthalpy at 0 K, the calculation gives 278 meV per atom. The total moment is 0.38 μB/f.u. For the total energy, the calculation gives -6.7934 eV/atom. For the density, the calculation gives 13.01 Mg/m³.

Cell lengths 2.774, 2.774, 6.739 Å; angles 90.00, 90.00, 120.00 degrees
Last column: magnetic moment on the atom in μB.
Atoms (fractional coordinates):
Co  0.667  0.333  0.350  0.60
Mo  0.333  0.667  0.638  -0.15
Au  0.000  0.000  0.012  -0.03

# 16
Material: CoMoAu2
Method: DFT, PBE-GGA
State: relaxed

The distance to the lowest polymorph of the same formula is 0.198 eV/atom. For the formation enthalpy at 0 K, the calculation gives 332 meV per atom. The total moment is 0.16 μB/f.u. For the total energy, the calculation gives -5.7908 eV/atom. For the density, the calculation gives 14.42 Mg/m³.

Cell lengths 5.463, 5.463, 5.463 Å; angles 149.78, 129.07, 60.37 degrees
Last column: magnetic moment on the atom in μB.
Atoms (fractional coordinates):
Au  0.007  0.007  0.000  0.00
Mo  0.285  0.785  0.500  -0.02
Au  0.725  0.225  0.500  -0.01
Co  0.484  0.484  0.000  0.19

# 17
Material: CoMoAu2
Method: DFT, PBE-GGA
State: relaxed

The distance to the lowest polymorph of the same formula is 0.091 eV/atom. For the formation enthalpy at 0 K, the calculation gives 225 meV per atom. The total moment is 0.91 μB/f.u. For the total energy, the calculation gives -5.8983 eV/atom. For the density, the calculation gives 14.40 Mg/m³.

Cell lengths 9.405, 9.405, 9.405 Å; angles 17.17, 17.17, 17.17 degrees
Last column: magnetic moment on the atom in μB.
Atoms (fractional coordinates):
Co  0.496  0.496  0.496  1.16
Au  0.003  0.003  0.003  0.01
Mo  0.758  0.758  0.758  -0.21
Au  0.243  0.243  0.243  0.01

# 18
Material: CoMoAu2
Method: DFT, PBE-GGA
State: relaxed

The distance to the lowest polymorph of the same formula is 0.309 eV/atom. For the formation enthalpy at 0 K, the calculation gives 443 meV per atom. The total moment is 1.66 μB/f.u. For the total energy, the calculation gives -5.6796 eV/atom. For the density, the calculation gives 14.10 Mg/m³.

Cell lengths 4.845, 4.845, 2.753 Å; angles 90.00, 90.00, 90.00 degrees
Last column: magnetic moment on the atom in μB.
Atoms (fractional coordinates):
Mo  0.000  0.500  0.500  -0.17
Co  0.500  0.000  0.500  1.90
Au  0.500  0.500  0.000  0.00
Au  0.000  0.000  0.000  0.00

# 19
Material: CoMoAu2
Method: DFT, PBE-GGA
State: relaxed

The distance to the lowest polymorph of the same formula is 0.163 eV/atom. For the formation enthalpy at 0 K, the calculation gives 297 meV per atom. The total moment is 1.13 μB/f.u. For the total energy, the calculation gives -5.8258 eV/atom. For the density, the calculation gives 14.55 Mg/m³.

Cell lengths 4.805, 4.805, 4.984 Å; angles 80.27, 80.27, 33.57 degrees
Last column: magnetic moment on the atom in μB.
Atoms (fractional coordinates):
Au  0.243  0.243  0.257  0.00
Mo  0.760  0.760  0.731  -0.06
Co  0.493  0.493  0.523  1.21
Au  0.004  0.004  0.989  0.00

# 20
Material: CoMoAu2
Method: DFT, PBE-GGA
State: relaxed

The distance to the lowest polymorph of the same formula is 0.261 eV/atom. For the formation enthalpy at 0 K, the calculation gives 395 meV per atom. The total moment is 0.80 μB/f.u. For the total energy, the calculation gives -5.7279 eV/atom. For the density, the calculation gives 14.68 Mg/m³.

Cell lengths 4.911, 4.911, 4.911 Å; angles 133.08, 133.05, 68.55 degrees
Last column: magnetic moment on the atom in μB.
Atoms (fractional coordinates):
Co  0.750  0.250  0.500  1.01
Au  0.000  0.000  0.000  -0.01
Mo  0.250  0.750  0.500  -0.15
Au  0.500  0.500  0.000  -0.01